DFT (PBE with a Hubbard U) results for an optimized crystal structure of Sc2WO6.

## Properties
Calculated total energy: -8.404 eV per atom
Total magnetization: 0.00 μB per cell

The structure in POSCAR format:
```
Sc2WO6
1.0
-2.5098 -0.2253 -4.0992
-0.0156 -4.8040 0.2736
-8.0645 0.3065 4.9207
O Sc W
12 4 2
Cartesian
-3.5705 -1.4522 0.5160
-7.0194 -3.2706 0.5791
-4.5730 -3.6867 1.8132
-0.7309 -1.4557 -1.1073
-3.2796 -1.0488 -2.5084
-6.0168 -1.0362 -0.7181
-1.7945 -3.5736 -2.7184
-7.3103 -3.6740 3.6035
-8.8557 -0.8369 0.8940
-6.0588 -1.3576 2.0343
-4.5311 -3.3652 -0.9392
-1.7341 -3.8859 0.2011
-5.3716 0.2041 3.2776
-2.6928 0.1023 1.6431
-2.6021 -2.4638 -1.0956
-7.9878 -2.2591 2.1906
-5.2949 -2.3614 0.5475
0.0000 0.0000 0.0000
```